1.
Zr2TlSeCl, relaxed, DFT PBE-GGA; raw total energy = -0.297 Ry per atom; calculated volume = 32.33 Å³/atom; formation energy from raw total energies = 88.7 kJ/mol of atoms; DOS at the Fermi energy = 7.97 states/eV/cell
1.0
5.534 0.000 0.000
0.000 5.534 0.000
0.000 0.000 5.279
Zr Tl Se Cl
2 1 1 1
Cartesian
0.000 2.767 0.000
2.767 0.000 0.000
0.000 0.000 0.000
0.000 0.000 2.640
2.767 2.767 2.640



2.
ZrTlSe2Cl, relaxed, DFT PBE-GGA; raw total energy = -0.367 Ry per atom; calculated volume = 28.63 Å³/atom; formation energy from raw total energies = -100.8 kJ/mol of atoms; DOS at the Fermi energy = 1.08 states/eV/cell; energy above the lowest structure with this stoichiometry = 0.80 eV/f.u.
1.0
5.286 0.000 0.000
0.000 5.286 0.000
0.000 0.000 5.123
Zr Tl Se Cl
1 1 2 1
Cartesian
0.000 0.000 0.000
2.643 2.643 2.561
0.000 2.643 0.000
2.643 0.000 0.000
0.000 0.000 2.561



3.
TmSeCl, relaxed, DFT PBE-GGA; raw total energy = -0.377 Ry per atom; calculated volume = 25.11 Å³/atom; formation energy from raw total energies = -179.4 kJ/mol of atoms; DOS at the Fermi energy = 0.00 states/eV/cell
1.0
0.000 3.352 3.352
3.352 0.000 3.352
3.352 3.352 0.000
Tm Se Cl
1 1 1
Cartesian
0.000 0.000 0.000
5.028 5.028 5.028
1.676 1.676 1.676